Computed, not measured: crystalline Nb2Pd3Rh3 at its relaxed geometry at the PBE-GGA level of DFT.

Unit cell a=3.9440 b=4.0120 c=7.7215 alpha=90.00 beta=90.00 gamma=90.00
Last column: nearest neighbours and their distance in Å.
Element x y z (fractional)
Nb 0.0000 0.0000 0.2446  6 Rh 2.73-2.79, 6 Pd 2.81
Nb 0.0000 0.0000 0.7554  6 Rh 2.73-2.79, 6 Pd 2.81
Pd 0.0000 0.5000 0.5000  4 Pd 2.77, 4 Nb 2.81, 4 Rh 2.81
Pd 0.5000 0.5000 0.2489  6 Rh 2.75-2.79, 2 Pd 2.77, 4 Nb 2.81
Pd 0.5000 0.5000 0.7511  6 Rh 2.75-2.79, 2 Pd 2.77, 4 Nb 2.81
Rh 0.0000 0.5000 0.0000  4 Pd 2.75, 4 Nb 2.76, 4 Rh 2.81
Rh 0.5000 0.0000 0.0000  4 Nb 2.73, 4 Pd 2.78, 4 Rh 2.81
Rh 0.5000 0.0000 0.5000  4 Nb 2.79, 8 Pd 2.79-2.81

Results
* symmetry: Pmmm, No. 47

***

Computed, not measured: crystalline NbPdRh2 at its relaxed geometry at the PBE-GGA level of DFT.

Unit cell a=5.6923 b=5.6923 c=5.6923 alpha=103.22 beta=103.22 gamma=122.86
Last column: nearest neighbours and their distance in Å.
Element x y z (fractional)
Nb 0.0000 0.0000 0.0000  4 Rh 2.46, 2 Pd 2.72
Nb 0.7500 0.2500 0.5000  4 Rh 2.46, 2 Pd 2.72
Pd 0.2500 0.7500 0.5000  2 Nb 2.72, 4 Rh 2.73
Pd 0.5000 0.5000 0.0000  2 Nb 2.72, 4 Rh 2.73
Rh 0.0976 0.1250 0.4726  2 Nb 2.46, 2 Pd 2.73, 2 Rh 2.75
Rh 0.3750 0.9024 0.0274  2 Nb 2.46, 2 Pd 2.73, 2 Rh 2.75
Rh 0.6524 0.6250 0.5274  2 Nb 2.46, 2 Pd 2.73, 2 Rh 2.75
Rh 0.8750 0.3476 0.9726  2 Nb 2.46, 2 Pd 2.73, 2 Rh 2.75

Results
* symmetry: I-42d, No. 122

***

Computed, not measured: crystalline Nb2Pd4Rh at its relaxed geometry at the PBE-GGA level of DFT.

Unit cell a=7.3464 b=7.3464 c=7.3464 alpha=126.54 beta=126.54 gamma=79.01
Last column: nearest neighbours and their distance in Å.
Element x y z (fractional)
Nb 0.1529 0.6529 0.8058  6 Pd 2.58-2.72, 1 Nb 2.86
Nb 0.3471 0.1529 0.5000  6 Pd 2.58-2.72, 1 Nb 2.86
Nb 0.6529 0.8471 0.5000  6 Pd 2.58-2.72, 1 Nb 2.86
Nb 0.8471 0.3471 0.1942  6 Pd 2.58-2.72, 1 Nb 2.86
Pd 0.0089 0.8134 0.5000  3 Nb 2.58-2.72, 2 Rh 2.70, 4 Pd 2.72-2.85
Pd 0.1866 0.6866 0.1954  3 Nb 2.58-2.72, 2 Rh 2.70, 4 Pd 2.72-2.85
Pd 0.3134 0.5089 0.5000  3 Nb 2.58-2.72, 2 Rh 2.70, 4 Pd 2.72-2.85
Pd 0.4911 0.9911 0.8046  3 Nb 2.58-2.72, 2 Rh 2.70, 4 Pd 2.72-2.85
Pd 0.5089 0.0089 0.1954  3 Nb 2.58-2.72, 2 Rh 2.70, 4 Pd 2.72-2.85
Pd 0.6866 0.4911 0.5000  3 Nb 2.58-2.72, 2 Rh 2.70, 4 Pd 2.72-2.85
Pd 0.8134 0.3134 0.8046  3 Nb 2.58-2.72, 2 Rh 2.70, 4 Pd 2.72-2.85
Pd 0.9911 0.1866 0.5000  3 Nb 2.58-2.72, 2 Rh 2.70, 4 Pd 2.72-2.85
Rh 0.2500 0.2500 0.0000  8 Pd 2.70
Rh 0.7500 0.7500 0.0000  8 Pd 2.70

Results
* symmetry: I4/mcm, No. 140

***

Computed, not measured: crystalline NbPd4Rh at its relaxed geometry at the PBE-GGA level of DFT.

Unit cell a=4.4790 b=4.4790 c=5.3666 alpha=90.00 beta=90.00 gamma=120.00
Last column: nearest neighbours and their distance in Å.
Element x y z (fractional)
Nb 0.0000 0.0000 0.0000  2 Rh 2.68, 12 Pd 2.92
Pd 0.3333 0.6667 0.2523  5 Pd 2.59-2.71
Pd 0.3333 0.6667 0.7477  5 Pd 2.59-2.71
Pd 0.6667 0.3333 0.2523  5 Pd 2.59-2.71
Pd 0.6667 0.3333 0.7477  5 Pd 2.59-2.71
Rh 0.0000 0.0000 0.5000  2 Nb 2.68, 12 Pd 2.91

Results
* symmetry: P6/mmm, No. 191

***

Density of states at the Fermi level (computed, states/eV per cell): 5.27 6.67 14.38 3.53
E (computed, eV/atom): -7.669 -7.443 -6.696 -6.559